Material: Ce3Sb2C
Method: DFT, PBE-GGA
State: optimized geometry

Values from the calculation:
E_form (uncorrected) = -0.52 eV per atom

Cell: 8.836 8.836 8.836 Å, 151.17 148.67 43.09°
Element x y z (fractional)
Ce1 0.000 0.000 0.000
Ce2 0.351 0.851 0.500
Ce3 0.649 0.149 0.500
Sb1 0.151 0.651 0.500
Sb2 0.849 0.349 0.500
C1 0.500 0.000 0.500